Entry 1:
Material: LiInP2
Method: DFT, SCAN
State: PBEsol geometry

extended XYZ file:
```
8
Lattice="6.135 0.000 0.000 -3.067 5.683 0.051 0.000 3.264 5.194" Properties=species:S:1:pos:R:3 pbc="T T T"
P 1.460 5.486 1.986
P 1.534 1.868 0.725
P -1.460 7.118 4.584
P 4.601 3.421 3.197
In 3.067 5.290 3.921
In 0.000 0.000 0.000
Li 3.067 1.632 2.597
Li 0.000 3.658 1.324
```

Calculated values
For the mass density, the calculation gives 3.39 g/cm³. The value obtained for the formation energy is 164 meV per atom. The density of states at the Fermi level comes out at 0.697 states/eV per atom. Its space-group type is No. 122.

Entry 2:
Material: GaFeF3
Method: DFT, SCAN
State: PBEsol geometry

extended XYZ file:
```
5
Lattice="-2.900 -2.391 1.549 2.837 -2.222 1.880 -0.259 2.422 3.254" Properties=species:S:1:pos:R:3 pbc="T T T"
Ga -0.161 -1.096 3.341
F 1.418 -1.111 0.940
F -1.450 -1.195 0.774
F -0.130 1.211 1.627
Fe 0.000 0.000 0.000
```

Calculated values
For the mass density, the calculation gives 4.51 g/cm³. The density of states at the Fermi level comes out at 0.780 states/eV per atom. Its space-group type is No. 221. The value obtained for the formation energy from raw total energies is -1898 meV per atom.

Entry 3:
Material: Li2YTe2
Method: DFT, SCAN
State: PBEsol geometry

extended XYZ file:
```
10
Lattice="-2.373 -2.574 -1.960 5.865 -1.408 -5.249 2.680 -5.970 4.595" Properties=species:S:1:pos:R:3 pbc="T T T"
Li 4.840 -4.663 -3.842
Li 4.864 -7.332 -0.367
Li 1.307 -2.620 -2.248
Li 1.331 -5.289 1.227
Te 4.163 -5.423 2.081
Te 1.880 -2.211 0.628
Te 6.664 -5.166 -1.282
Te 4.381 -1.955 -2.735
Y 0.000 0.000 0.000
Y 4.272 -3.689 -0.327
```

Calculated values
For the mass density, the calculation gives 4.63 g/cm³. The density of states at the Fermi level comes out at 0.125 states/eV per atom. Its space-group type is No. 127. The value obtained for the formation energy from raw total energies is -994 meV per atom.